<i>
Cu4Ag | PBE-GGA | optimized geometry

Results
V in Å³ per cell: 130.4
Space group: No. 12

Unit cell a=9.221 b=9.221 c=5.357 alpha=98.72 beta=98.72 gamma=16.84
Sites, in units of the cell vectors:
Cu  0.408  0.408  0.193
Cu  0.593  0.593  0.287
Cu  0.194  0.194  0.095
Cu  0.000  0.000  0.000
Cu  0.000  0.000  0.500
Cu  0.806  0.806  0.905
Cu  0.592  0.592  0.807
Cu  0.407  0.407  0.713
Ag  0.806  0.806  0.394
Ag  0.194  0.194  0.606


<ii>
Cu4Ag | PBE-GGA | optimized geometry

Results
V in Å³ per cell: 131.4
Space group: No. 12

Unit cell a=4.568 b=4.568 c=11.367 alpha=100.15 beta=100.15 gamma=34.30
Sites, in units of the cell vectors:
Cu  0.447  0.447  0.673
Cu  0.249  0.249  0.230
Cu  0.351  0.351  0.955
Cu  0.553  0.553  0.327
Cu  0.951  0.951  0.141
Cu  0.649  0.649  0.045
Cu  0.049  0.049  0.859
Cu  0.751  0.751  0.770
Ag  0.852  0.852  0.437
Ag  0.148  0.148  0.563


<ii> is the most stable structure; the next one sits 0.009 eV/atom above it.


<i>
Cu4Ag | PBE-GGA | optimized geometry

Results
V in Å³ per cell: 130.6
Space group: No. 12

Unit cell a=8.803 b=8.803 c=5.570 alpha=98.88 beta=98.88 gamma=17.84
Sites, in units of the cell vectors:
Cu  0.493  0.493  0.241
Cu  0.906  0.906  0.931
Cu  0.305  0.305  0.646
Cu  0.695  0.695  0.354
Cu  0.911  0.911  0.478
Cu  0.094  0.094  0.069
Cu  0.507  0.507  0.759
Cu  0.089  0.089  0.522
Ag  0.692  0.692  0.837
Ag  0.308  0.308  0.163


<ii>
Cu4Ag | PBE-GGA | optimized geometry

Results
V in Å³ per cell: 130.3
Space group: No. 12

Unit cell a=4.582 b=4.582 c=8.356 alpha=90.27 beta=90.27 gamma=47.94
Sites, in units of the cell vectors:
Cu  0.699  0.699  0.399
Cu  0.301  0.301  0.601
Cu  0.100  0.100  0.192
Cu  0.000  0.000  0.500
Cu  0.500  0.500  0.000
Cu  0.795  0.795  0.093
Cu  0.900  0.900  0.808
Cu  0.205  0.205  0.907
Ag  0.601  0.601  0.702
Ag  0.399  0.399  0.298


<i> is the most stable structure; the next one sits 0.007 eV/atom above it.


<i>
SiTcNO | PBE-GGA | optimized geometry

Results
V in Å³ per cell: 83.0
Space group: No. 129

Unit cell a=3.682 b=3.682 c=6.118 alpha=90.00 beta=90.00 gamma=90.00
Sites, in units of the cell vectors:
Si  0.000  0.500  0.857
Si  0.500  0.000  0.143
O  0.500  0.500  0.000
O  0.000  0.000  0.000
Tc  0.000  0.000  0.500
Tc  0.500  0.500  0.500
N  0.000  0.500  0.347
N  0.500  0.000  0.653


<ii>
SiTcNO | PBE-GGA | optimized geometry

Results
V in Å³ per cell: 182.7
Space group: No. 29

Unit cell a=4.713 b=5.129 c=7.561 alpha=90.00 beta=90.00 gamma=90.00
Sites, in units of the cell vectors:
Tc  0.440  0.390  0.537
Tc  0.940  0.610  0.463
Tc  0.440  0.890  0.463
Tc  0.940  0.110  0.537
O  0.086  0.940  0.291
O  0.586  0.560  0.291
O  0.086  0.440  0.709
O  0.586  0.060  0.709
N  0.159  0.883  0.934
N  0.659  0.117  0.066
N  0.159  0.383  0.066
N  0.659  0.617  0.934
Si  0.017  0.578  0.901
Si  0.517  0.922  0.901
Si  0.517  0.422  0.099
Si  0.017  0.078  0.099


<ii> is the most stable structure; the next one sits 0.664 eV/atom above it.


<i>
MgPaTc | PBE-GGA | optimized geometry

Results
V in Å³ per cell: 71.5
Space group: No. 216

Unit cell a=4.660 b=4.660 c=4.660 alpha=60.00 beta=60.00 gamma=60.00
Sites, in units of the cell vectors:
Mg  0.250  0.250  0.250
Tc  0.750  0.750  0.750
Pa  0.000  0.000  0.000


<ii>
MgPaTc | PBE-GGA | optimized geometry

Results
V in Å³ per cell: 65.8
Space group: No. 216

Unit cell a=4.531 b=4.531 c=4.531 alpha=60.00 beta=60.00 gamma=60.00
Sites, in units of the cell vectors:
Tc  0.750  0.750  0.750
Pa  0.250  0.250  0.250
Mg  0.000  0.000  0.000


<ii> is the most stable structure; the next one sits 0.111 eV/atom above it.


<i>
CsLuFeS3 | PBE-GGA | optimized geometry

Results
V in Å³ per cell: 645.3
Space group: No. 62

Unit cell a=15.582 b=3.941 c=10.508 alpha=90.00 beta=90.00 gamma=90.00
Each line ends with the local moment (μB).
Sites, in units of the cell vectors:
S  0.887  0.250  0.245  0.11
S  0.387  0.250  0.255  0.11
S  0.088  0.250  0.428  0.02
S  0.912  0.750  0.572  0.02
S  0.072  0.750  0.116  0.19
S  0.412  0.750  0.928  0.02
S  0.572  0.750  0.384  0.19
S  0.928  0.250  0.884  0.19
S  0.588  0.250  0.072  0.02
S  0.428  0.250  0.616  0.19
S  0.113  0.750  0.755  0.11
S  0.613  0.750  0.745  0.11
Lu  0.014  0.250  0.653  0.04
Lu  0.486  0.750  0.153  0.04
Lu  0.514  0.250  0.847  0.04
Lu  0.986  0.750  0.347  0.04
Fe  0.011  0.750  0.912  3.25
Fe  0.511  0.750  0.588  3.25
Fe  0.489  0.250  0.412  3.25
Fe  0.989  0.250  0.088  3.25
Cs  0.737  0.250  0.528  0.00
Cs  0.237  0.250  0.972  0.00
Cs  0.763  0.750  0.028  0.00
Cs  0.263  0.750  0.472  0.00


<ii>
CsLuFeS3 | PBE-GGA | optimized geometry

Results
V in Å³ per cell: 602.5
Space group: No. 62

Unit cell a=10.506 b=3.962 c=14.477 alpha=90.00 beta=90.00 gamma=90.00
Each line ends with the local moment (μB).
Sites, in units of the cell vectors:
Fe  0.847  0.250  0.633  3.19
Fe  0.347  0.250  0.867  3.19
Fe  0.653  0.750  0.133  3.19
Fe  0.153  0.750  0.367  3.19
Cs  0.025  0.750  0.843  0.01
Cs  0.975  0.250  0.157  0.01
Cs  0.475  0.250  0.343  0.01
Cs  0.525  0.750  0.657  0.01
Lu  0.647  0.250  0.931  0.06
Lu  0.147  0.250  0.569  0.06
Lu  0.353  0.750  0.069  0.06
Lu  0.853  0.750  0.431  0.06
S  0.030  0.250  0.393  0.10
S  0.470  0.750  0.893  0.10
S  0.241  0.750  0.226  0.13
S  0.216  0.250  0.995  0.09
S  0.784  0.750  0.005  0.09
S  0.716  0.250  0.505  0.09
S  0.284  0.750  0.495  0.09
S  0.530  0.250  0.107  0.10
S  0.259  0.250  0.726  0.14
S  0.741  0.750  0.274  0.14
S  0.759  0.250  0.774  0.13
S  0.970  0.750  0.607  0.10


<i> is the most stable structure; the next one sits 0.086 eV/atom above it.


<i>
NaTl2Cd | PBE-GGA | optimized geometry

Results
V in Å³ per cell: 108.3
Space group: No. 123

Unit cell a=4.829 b=4.829 c=4.643 alpha=90.00 beta=90.00 gamma=90.00
Sites, in units of the cell vectors:
Cd  0.500  0.500  0.000
Tl  0.000  0.500  0.500
Tl  0.500  0.000  0.500
Na  0.000  0.000  0.000


<ii>
NaTl2Cd | PBE-GGA | optimized geometry

Results
V in Å³ per cell: 641.4
Space group: No. 71

Unit cell a=5.341 b=7.510 c=15.992 alpha=90.00 beta=90.00 gamma=90.00
Sites, in units of the cell vectors:
Tl  0.000  0.250  0.833
Tl  0.500  0.250  0.000
Tl  0.000  0.750  0.167
Tl  0.000  0.750  0.500
Tl  0.500  0.750  0.000
Tl  0.000  0.250  0.500
Tl  0.500  0.250  0.667
Tl  0.500  0.750  0.667
Tl  0.000  0.750  0.833
Tl  0.500  0.250  0.333
Tl  0.500  0.750  0.333
Tl  0.000  0.250  0.167
Cd  0.000  0.000  0.000
Cd  0.000  0.000  0.667
Cd  0.500  0.500  0.833
Cd  0.500  0.500  0.500
Cd  0.500  0.500  0.167
Cd  0.000  0.000  0.333
Na  0.000  0.500  0.000
Na  0.000  0.500  0.667
Na  0.500  0.000  0.833
Na  0.500  0.000  0.500
Na  0.000  0.500  0.333
Na  0.500  0.000  0.167


<ii> is the most stable structure; the next one sits 0.008 eV/atom above it.


<i>
CdGeTeO | PBE-GGA | optimized geometry

Results
V in Å³ per cell: 364.9
Space group: No. 29

Unit cell a=6.197 b=9.532 c=6.178 alpha=90.00 beta=90.00 gamma=90.00
Sites, in units of the cell vectors:
Cd  0.387  0.087  0.956
Cd  0.113  0.087  0.456
Cd  0.887  0.913  0.956
Cd  0.613  0.913  0.456
Te  0.525  0.341  0.124
Te  0.475  0.659  0.624
Te  0.025  0.659  0.124
Te  0.975  0.341  0.624
Ge  0.985  0.307  0.076
Ge  0.015  0.693  0.576
Ge  0.485  0.693  0.076
Ge  0.515  0.307  0.576
O  0.543  0.898  0.094
O  0.957  0.898  0.594
O  0.043  0.102  0.094
O  0.457  0.102  0.594


<ii>
CdGeTeO | PBE-GGA | optimized geometry

Results
V in Å³ per cell: 214.5
Space group: No. 129

Unit cell a=5.542 b=5.542 c=6.985 alpha=90.00 beta=90.00 gamma=90.00
Sites, in units of the cell vectors:
Cd  0.750  0.750  0.676
Cd  0.250  0.250  0.324
Te  0.250  0.750  0.500
Te  0.750  0.250  0.500
Ge  0.250  0.250  0.776
Ge  0.750  0.750  0.224
O  0.750  0.750  0.982
O  0.250  0.250  0.018


<i> is the most stable structure; the next one sits 0.121 eV/atom above it.


<i>
LiCd2Pd | PBE-GGA | optimized geometry

Results
V in Å³ per cell: 416.8
Space group: No. 139

Unit cell a=4.606 b=6.543 c=13.829 alpha=90.00 beta=90.00 gamma=90.00
Sites, in units of the cell vectors:
Cd  0.000  0.750  0.167
Cd  0.500  0.250  0.667
Cd  0.000  0.750  0.833
Cd  0.500  0.250  0.000
Cd  0.000  0.250  0.500
Cd  0.000  0.750  0.500
Cd  0.000  0.250  0.167
Cd  0.500  0.750  0.000
Cd  0.500  0.750  0.333
Cd  0.000  0.250  0.833
Cd  0.500  0.750  0.667
Cd  0.500  0.250  0.333
Li  0.000  0.000  0.667
Li  0.000  0.000  0.333
Li  0.500  0.500  0.500
Li  0.500  0.500  0.833
Li  0.000  0.000  0.000
Li  0.500  0.500  0.167
Pd  0.500  0.000  0.500
Pd  0.500  0.000  0.167
Pd  0.000  0.500  0.667
Pd  0.500  0.000  0.833
Pd  0.000  0.500  0.000
Pd  0.000  0.500  0.333


<ii>
LiCd2Pd | PBE-GGA | optimized geometry

Results
V in Å³ per cell: 147.5
Space group: No. 194

Unit cell a=4.361 b=4.361 c=8.959 alpha=90.00 beta=90.00 gamma=120.00
Sites, in units of the cell vectors:
Cd  0.333  0.667  0.086
Cd  0.667  0.333  0.914
Cd  0.333  0.667  0.414
Cd  0.667  0.333  0.586
Pd  0.000  0.000  0.250
Pd  0.000  0.000  0.750
Li  0.333  0.667  0.750
Li  0.667  0.333  0.250


<i> is the most stable structure; the next one sits 0.216 eV/atom above it.